First-principles (PBE) data for a relaxed structure of LaPmSn, as listed in Alexandria.

Lattice parameters (Å, degrees): 4.730 4.730 8.840 90.00 90.00 90.00
Sites, in units of the cell vectors:
La: 0.250 0.250 0.149
La: 0.750 0.750 0.851
Pm: 0.250 0.750 0.500
Pm: 0.750 0.250 0.500
Sn: 0.250 0.250 0.771
Sn: 0.750 0.750 0.229

## Properties
E in eV/cell: -30.95
Formation energy from the elements in eV per atom: -0.60
Relative energy among the computed polymorphs in meV/atom: 0

First-principles (PBE) data for a relaxed structure of EuIn2Bi, as listed in Alexandria.

Lattice parameters (Å, degrees): 5.562 5.562 5.562 60.00 60.00 60.00
Sites, in units of the cell vectors:
Eu: 0.000 0.000 0.000
In: 0.250 0.250 0.250
In: 0.750 0.750 0.750
Bi: 0.500 0.500 0.500

## Properties
E in eV/cell: -20.72
Formation energy from the elements in eV per atom: -0.27
Relative energy among the computed polymorphs in meV/atom: 172